Entry 1:
# CoReNi

Crystalline CoReNi at its relaxed geometry (PBEsol, the Alexandria database).

Cell and atoms, written as POSCAR:
```
CoReNi
1.0
-2.415 0.130 0.675
-0.060 -3.950 0.546
0.974 2.416 3.020
Re Co Ni
1 1 1
direct
0.500 0.333 0.667
0.000 0.000 0.000
0.000 0.667 0.333
```

Properties
As for the space group: P-6m2. Its formation energy is -1 meV per atom.


Entry 2:
# KIn2As2

Crystalline KIn2As2 at its relaxed geometry (PBEsol, the Alexandria database).

Cell and atoms, written as POSCAR:
```
KIn2As2
1.0
4.664 0.000 0.000
0.000 4.664 0.000
-2.332 -2.332 6.651
As K In
2 1 2
direct
0.365 0.365 0.731
0.635 0.635 0.269
0.000 0.000 0.000
0.250 0.750 0.500
0.750 0.250 0.500
```

Properties
As for the space group: I4/mmm. Its formation energy is -238 meV per atom.


Entry 3:
# MgPt4W

Crystalline MgPt4W at its relaxed geometry (PBEsol, the Alexandria database).

Cell and atoms, written as POSCAR:
```
MgPt4W
1.0
-1.179 4.976 -0.739
-4.668 1.774 1.328
-0.503 3.165 4.053
Mg Pt W
1 4 1
direct
0.000 0.000 0.000
0.375 0.375 0.375
0.375 0.375 0.874
0.874 0.375 0.375
0.375 0.874 0.375
0.750 0.750 0.750
```

Properties
As for the space group: F-43m. Its formation energy is 60 meV per atom.


Entry 4:
# PtCSe2N

Crystalline PtCSe2N at its relaxed geometry (PBEsol, the Alexandria database).

Cell and atoms, written as POSCAR:
```
PtCSe2N
1.0
-2.028 -0.215 1.469
-2.433 -3.073 -3.809
2.121 -4.495 2.272
C Se Pt N
1 2 1 1
direct
0.000 0.000 0.000
0.000 0.000 0.500
0.000 0.500 0.000
0.500 0.500 0.500
0.500 0.000 0.000
```

Properties
As for the space group: P4/mmm. The uncorrected formation energy comes out at 0.821 eV per atom.


Entry 5:
# SrMg2P

Crystalline SrMg2P at its relaxed geometry (PBEsol, the Alexandria database).

Cell and atoms, written as POSCAR:
```
SrMg2P
1.0
-1.126 -3.232 0.781
1.563 -1.242 -2.888
6.642 -1.309 4.159
Mg P Sr
2 1 1
direct
0.000 0.000 0.825
0.000 0.000 0.175
0.500 0.500 0.000
0.500 0.500 0.500
```

Properties
As for the space group: P4/mmm. Its formation energy is -149 meV per atom.


Entry 6:
# SrNiS2

Crystalline SrNiS2 at its relaxed geometry (PBEsol, the Alexandria database).

Cell and atoms, written as POSCAR:
```
SrNiS2
1.0
-4.477 -0.508 -0.768
-1.494 -3.439 -2.613
-2.482 -5.268 4.356
Sr S Ni
1 2 1
direct
0.500 0.500 0.500
0.899 0.899 0.302
0.101 0.101 0.698
0.000 0.000 0.000
```

Properties
As for the space group: R-3m. The uncorrected formation energy comes out at -0.688 eV per atom.


| no. | uncorrected energy (eV/atom) |
| --- | --- |
| 1 | -9.077 |
| 2 | -3.700 |
| 3 | -7.170 |
| 4 | -5.746 |
| 5 | -2.915 |
| 6 | -4.879 |